# 1
Below is a geometry-optimized Pr2NpH12Rh3 structure, with properties calculated at the GGA-PBE level.

As for the total moment: 3.83 μB per formula unit. The calculation puts the calculated total energy at -4.9765 eV per atom.

Cell and atoms, written as POSCAR:
```
Pr2NpH12Rh3
1.0
6.1699 -0.2301 -0.1632
2.8469 5.4787 -0.1632
2.8469 1.6571 5.2246
Pr Np H Rh
2 1 12 3
direct
0.6167 0.6167 0.6167
0.3833 0.3833 0.3833
0.0000 0.0000 0.0000
0.2818 0.2818 0.8766
0.8653 0.8653 0.4183
0.4183 0.8653 0.8653
0.8766 0.2818 0.2818
0.8653 0.4183 0.8653
0.2818 0.8766 0.2818
0.7182 0.7182 0.1234
0.1347 0.1347 0.5817
0.5817 0.1347 0.1347
0.1234 0.7182 0.7182
0.1347 0.5817 0.1347
0.7182 0.1234 0.7182
0.5000 0.0000 0.0000
0.0000 0.5000 0.0000
0.0000 0.0000 0.5000
```

***

# 2
Below is a geometry-optimized Pr2NpH12Ru3 structure, with properties calculated at the GGA-PBE level.

As for the total moment: 4.85 μB per formula unit. The calculation puts the calculated total energy at -5.2534 eV per atom.

Cell and atoms, written as POSCAR:
```
Pr2NpH12Ru3
1.0
6.1424 -0.1550 -0.1099
2.8987 5.4177 -0.1099
2.8987 1.6873 5.1494
Pr Np H Ru
2 1 12 3
direct
0.6148 0.6148 0.6148
0.3852 0.3852 0.3852
0.0000 0.0000 0.0000
0.2881 0.2881 0.8536
0.8639 0.8639 0.4259
0.4259 0.8639 0.8639
0.8536 0.2881 0.2881
0.8639 0.4259 0.8639
0.2881 0.8536 0.2881
0.7119 0.7119 0.1464
0.1361 0.1361 0.5741
0.5741 0.1361 0.1361
0.1464 0.7119 0.7119
0.1361 0.5741 0.1361
0.7119 0.1464 0.7119
0.5000 0.0000 0.0000
0.0000 0.5000 0.0000
0.0000 0.0000 0.5000
```

***

# 3
Below is a geometry-optimized NpH3Pt structure, with properties calculated at the GGA-PBE level.

As for the total moment: 4.93 μB per formula unit. The calculation puts the calculated total energy at -5.9916 eV per atom.

Cell and atoms, written as POSCAR:
```
NpH3Pt
1.0
3.7441 0.0000 0.0000
0.0000 3.7441 0.0000
0.0000 0.0000 3.7441
Np H Pt
1 3 1
direct
0.5000 0.5000 0.5000
0.0000 0.5000 0.0000
0.0000 0.0000 0.5000
0.5000 0.0000 0.0000
0.0000 0.0000 0.0000
```

***

# 4
Below is a geometry-optimized NpHPt3 structure, with properties calculated at the GGA-PBE level.

As for the total moment: 4.08 μB per formula unit. The calculation puts the calculated total energy at -7.1705 eV per atom.

Cell and atoms, written as POSCAR:
```
NpHPt3
1.0
4.2289 0.0000 0.0000
0.0000 4.2289 0.0000
0.0000 0.0000 4.2289
Np H Pt
1 1 3
direct
0.5000 0.5000 0.5000
0.0000 0.0000 0.0000
0.0000 0.5000 0.0000
0.0000 0.0000 0.5000
0.5000 0.0000 0.0000
```

***

# 5
Below is a geometry-optimized NpHPt2 structure, with properties calculated at the GGA-PBE level.

As for the total moment: 2.58 μB per formula unit. The calculation puts the calculated total energy at -7.0688 eV per atom.

Cell and atoms, written as POSCAR:
```
NpHPt2
1.0
3.6804 0.0000 0.0000
1.8402 3.1874 0.0000
1.8402 1.0625 6.9315
Np H Pt
1 1 2
direct
0.5000 0.5000 0.5000
0.0000 0.0000 0.0000
0.0842 0.0842 0.7474
0.9158 0.9158 0.2526
```

***

# 6
Below is a geometry-optimized Np2H4Pt structure, with properties calculated at the GGA-PBE level.

As for the total moment: 9.21 μB per formula unit. The calculation puts the calculated total energy at -6.5467 eV per atom.

Cell and atoms, written as POSCAR:
```
Np2H4Pt
1.0
-1.9546 -2.8292 -0.0673
2.3480 -1.6669 1.8808
-3.0554 -0.1423 6.8330
Np H Pt
2 4 1
direct
0.3475 0.3475 0.3050
0.6525 0.6525 0.6950
0.1873 0.1873 0.6254
0.8127 0.8127 0.3746
0.0000 0.5000 0.0000
0.5000 0.0000 0.0000
0.0000 0.0000 0.0000
```

***

# 7
Below is a geometry-optimized Np2H12PtRh3 structure, with properties calculated at the GGA-PBE level.

As for the total moment: 10.07 μB per formula unit. The calculation puts the calculated total energy at -5.2993 eV per atom.

Cell and atoms, written as POSCAR:
```
Np2H12PtRh3
1.0
6.1721 0.1024 0.0727
3.1372 5.3163 0.0727
3.1372 1.8261 4.9934
Np H Pt Rh
2 12 1 3
direct
0.6292 0.6292 0.6292
0.3708 0.3708 0.3708
0.3510 0.3510 0.9199
0.9061 0.9061 0.3496
0.3496 0.9061 0.9061
0.9199 0.3510 0.3510
0.9061 0.3496 0.9061
0.3510 0.9199 0.3510
0.6490 0.6490 0.0801
0.0939 0.0939 0.6504
0.6504 0.0939 0.0939
0.0801 0.6490 0.6490
0.0939 0.6504 0.0939
0.6490 0.0801 0.6490
0.0000 0.0000 0.0000
0.5000 0.0000 0.0000
0.0000 0.5000 0.0000
0.0000 0.0000 0.5000
```

***

# 8
Below is a geometry-optimized NpH8PtRh4 structure, with properties calculated at the GGA-PBE level.

As for the total moment: 3.81 μB per formula unit. The calculation puts the calculated total energy at -5.4241 eV per atom.

Cell and atoms, written as POSCAR:
```
NpH8PtRh4
1.0
-4.1768 2.9477 2.4612
-4.8796 0.8557 -2.7659
-4.7165 -2.6314 1.6873
Np H Pt Rh
1 8 1 4
direct
0.3867 0.3867 0.8398
0.2214 0.8620 0.6952
0.8620 0.2214 0.6952
0.2214 0.2214 0.6952
0.2273 0.2273 0.3182
0.6797 0.2844 0.3563
0.2844 0.6797 0.3563
0.6797 0.6797 0.3563
0.7702 0.7702 0.6895
0.0024 0.0024 0.9927
0.6337 0.6337 0.0988
0.0076 0.5159 0.4688
0.5159 0.0076 0.4688
0.0076 0.0076 0.4688
```

***

Repeat the eighth record exactly.
Below is a geometry-optimized NpH8PtRh4 structure, with properties calculated at the GGA-PBE level.

As for the total moment: 3.81 μB per formula unit. The calculation puts the calculated total energy at -5.4241 eV per atom.

Cell and atoms, written as POSCAR:
```
NpH8PtRh4
1.0
-4.1768 2.9477 2.4612
-4.8796 0.8557 -2.7659
-4.7165 -2.6314 1.6873
Np H Pt Rh
1 8 1 4
direct
0.3867 0.3867 0.8398
0.2214 0.8620 0.6952
0.8620 0.2214 0.6952
0.2214 0.2214 0.6952
0.2273 0.2273 0.3182
0.6797 0.2844 0.3563
0.2844 0.6797 0.3563
0.6797 0.6797 0.3563
0.7702 0.7702 0.6895
0.0024 0.0024 0.9927
0.6337 0.6337 0.0988
0.0076 0.5159 0.4688
0.5159 0.0076 0.4688
0.0076 0.0076 0.4688
```

***

Copy entry 6 word for word.
Below is a geometry-optimized Np2H4Pt structure, with properties calculated at the GGA-PBE level.

As for the total moment: 9.21 μB per formula unit. The calculation puts the calculated total energy at -6.5467 eV per atom.

Cell and atoms, written as POSCAR:
```
Np2H4Pt
1.0
-1.9546 -2.8292 -0.0673
2.3480 -1.6669 1.8808
-3.0554 -0.1423 6.8330
Np H Pt
2 4 1
direct
0.3475 0.3475 0.3050
0.6525 0.6525 0.6950
0.1873 0.1873 0.6254
0.8127 0.8127 0.3746
0.0000 0.5000 0.0000
0.5000 0.0000 0.0000
0.0000 0.0000 0.0000
```